First-principles (PBE) data for a relaxed structure of Hf4ZnIr2, as listed in the Alexandria database.

Properties
Space-group type: R-3m
Calculated total energy in eV/atom: -8.87
ΔH_f (0 K) in eV/atom: -0.467

a = 4.390 Å, b = 4.390 Å, c = 9.167 Å
α = 76.15°, β = 76.15°, γ = 60.00°
Atoms (fractional coordinates):
Hf 0.385 0.385 0.846
Hf 0.203 0.203 0.391
Zn 0.000 0.000 0.000
Ir 0.903 0.903 0.292
Hf 0.797 0.797 0.609
Hf 0.615 0.615 0.154
Ir 0.097 0.097 0.708